This record from Alexandria via LeMat-Bulk describes a relaxed structure of ScCu2Si. The functional is GGA-PBE.

Summary:
Its raw formation energy is -0.280 eV per atom. Its space group is No. 6.

Unit cell a=4.0246 b=3.0754 c=5.1051 alpha=72.56 beta=90.00 gamma=90.00
Closest atoms and distances in Å follow each position.
Atoms (fractional coordinates):
Cu (0.0000, 0.8071, 0.0114)  2 Si 2.37, 1 Sc 2.59
Cu (0.5000, 0.2178, 0.1902)  3 Si 2.61-2.76, 4 Cu 2.68
Sc (0.0000, 0.5404, 0.5424)  3 Cu 2.59-2.75, 4 Si 2.74
Si (0.5000, 0.9347, 0.7560)  4 Cu 2.37-2.62